1.
{"formula": "BeReRu3", "functional": "PBE", "state": "optimized geometry", "lattice": [[-3.779, -1.166, -0.889], [-0.548, -1.157, 3.846], [-1.360, 3.706, 0.921]], "species": ["Re", "Be", "Ru", "Ru", "Ru"], "fractional_positions": [[0.500, 0.500, 0.500], [0.000, 0.000, 0.000], [0.000, 0.500, 0.000], [0.000, 0.000, 0.500], [0.500, 0.000, 0.000]], "spacegroup": "Pm-3m", "density_g_cm3": 12.4, "formation_energy_kj_per_mol_atoms": 46.77, "de_polymorph_mev_per_atom": 0}

2.
{"formula": "SnIrS", "functional": "PBE", "state": "optimized geometry", "lattice": [[3.699, -0.003, -0.008], [-1.847, 3.691, -0.003], [-1.841, -1.293, 4.463]], "species": ["S", "Ir", "Sn"], "fractional_positions": [[0.356, 0.342, 0.574], [0.761, 0.017, 0.707], [0.324, 0.784, 0.067]], "spacegroup": "Cm", "density_g_cm3": 9.4, "e_form_raw_ev_per_atom": -0.04}

3.
{"formula": "ZrSbC", "functional": "PBE", "state": "optimized geometry", "lattice": [[-2.644, 0.988, -2.982], [-2.895, -1.393, 2.105], [1.743, 7.231, 3.677]], "species": ["Sb", "Sb", "C", "C", "Zr", "Zr"], "fractional_positions": [[0.687, 0.187, 0.373], [0.313, 0.813, 0.627], [0.656, 0.500, 0.000], [0.344, 0.500, 0.000], [0.112, 0.612, 0.224], [0.888, 0.388, 0.776]], "spacegroup": "Immm", "density_g_cm3": 6.1, "e_form_raw_ev_per_atom": 0.02}

4.
{"formula": "CuRhW2", "functional": "PBE", "state": "optimized geometry", "lattice": [[7.010, 0.000, 0.000], [0.000, 7.010, 0.000], [3.505, 3.505, 2.600]], "species": ["Rh", "Rh", "Cu", "Cu", "W", "W", "W", "W"], "fractional_positions": [[0.000, 0.000, 0.000], [0.750, 0.250, 0.500], [0.500, 0.500, 0.000], [0.250, 0.750, 0.500], [0.634, 0.125, 0.250], [0.116, 0.625, 0.250], [0.375, 0.366, 0.750], [0.875, 0.884, 0.750]], "spacegroup": "I-42d", "density_g_cm3": 13.9, "formation_energy_kj_per_mol_atoms": 74.41, "de_polymorph_mev_per_atom": 682}

5.
{"formula": "TlAuC", "functional": "PBE", "state": "optimized geometry", "lattice": [[6.363, -0.059, -0.014], [6.187, 5.239, -0.032], [4.103, -2.512, 4.098]], "species": ["Tl", "Tl", "Au", "Au", "C", "C"], "fractional_positions": [[0.622, 0.064, 0.692], [0.615, 0.296, 0.129], [0.118, 0.180, 0.410], [0.118, 0.680, 0.910], [0.619, 0.752, 0.338], [0.618, 0.608, 0.483]], "spacegroup": "P-1", "density_g_cm3": 9.9, "formation_energy_kj_per_mol_atoms": 49.44}

6.
{"formula": "CeYGa", "functional": "PBE", "state": "optimized geometry", "lattice": [[4.986, 0.000, 0.000], [2.493, 4.318, 0.000], [2.493, 1.439, 4.071]], "species": ["Y", "Ga", "Ce"], "fractional_positions": [[0.500, 0.500, 0.500], [0.250, 0.250, 0.250], [0.000, 0.000, 0.000]], "spacegroup": "F-43m", "density_g_cm3": 5.7, "formation_energy_kj_per_mol_atoms": -15.84, "de_polymorph_mev_per_atom": 265}

7.
{"formula": "YPaPtRh", "functional": "PBE", "state": "optimized geometry", "lattice": [[4.926, 0.000, 0.000], [2.463, 4.266, 0.000], [2.463, 1.422, 4.022]], "species": ["Y", "Pa", "Rh", "Pt"], "fractional_positions": [[0.000, 0.000, 0.000], [0.500, 0.500, 0.500], [0.250, 0.250, 0.250], [0.750, 0.750, 0.750]], "spacegroup": "F-43m", "density_g_cm3": 12.1, "formation_energy_kj_per_mol_atoms": -75.75, "de_polymorph_mev_per_atom": 213}

8.
{"formula": "PmPuCl5", "functional": "PBE", "state": "optimized geometry", "lattice": [[4.004, 0.000, 0.000], [0.000, 7.795, -0.333], [0.000, 0.088, 12.977]], "species": ["Pm", "Pm", "Pu", "Pu", "Cl", "Cl", "Cl", "Cl", "Cl", "Cl", "Cl", "Cl", "Cl", "Cl"], "fractional_positions": [[0.250, 0.422, 0.344], [0.750, 0.578, 0.656], [0.750, 0.080, 0.146], [0.250, 0.920, 0.854], [0.250, 0.066, 0.310], [0.750, 0.150, 0.930], [0.750, 0.319, 0.482], [0.250, 0.346, 0.131], [0.250, 0.360, 0.714], [0.750, 0.640, 0.286], [0.750, 0.654, 0.869], [0.250, 0.681, 0.518], [0.250, 0.850, 0.070], [0.750, 0.934, 0.690]], "spacegroup": "P2_1/m", "density_g_cm3": 4.6, "e_form_raw_ev_per_atom": -2.05, "de_polymorph_mev_per_atom": 0}

9.
{"formula": "LaPbCl2", "functional": "PBE", "state": "optimized geometry", "lattice": [[3.488, 0.000, 0.000], [0.000, 3.487, 0.000], [0.000, 0.000, 11.457]], "species": ["Pb", "Cl", "Cl", "La"], "fractional_positions": [[0.500, 0.500, 0.750], [0.000, 0.000, 0.106], [0.000, 0.000, 0.394], [0.500, 0.500, 0.250]], "spacegroup": "P4/mmm", "density_g_cm3": 5.0, "e_form_raw_ev_per_atom": -1.35, "de_polymorph_mev_per_atom": 8}

10.
{"formula": "TbCeAl", "functional": "PBE", "state": "optimized geometry", "lattice": [[3.346, 0.000, 0.000], [0.000, 3.346, 0.000], [-1.673, -1.673, 7.053]], "species": ["Tb", "Al", "Ce"], "fractional_positions": [[0.264, 0.264, 0.528], [0.618, 0.618, 0.236], [0.968, 0.968, 0.936]], "spacegroup": "I4mm", "density_g_cm3": 6.9, "formation_energy_kj_per_mol_atoms": -15.92, "de_polymorph_mev_per_atom": 56}

11.
{"formula": "CaTeBrCl", "functional": "PBE", "state": "optimized geometry", "lattice": [[4.287, -0.004, -0.020], [-2.132, 5.060, -0.040], [-0.615, -2.155, 7.180]], "species": ["Ca", "Te", "Br", "Cl"], "fractional_positions": [[0.657, 0.232, 0.569], [0.301, 0.415, 0.898], [0.741, 0.828, 0.775], [0.075, 0.135, 0.346]], "spacegroup": "P1", "density_g_cm3": 3.0, "e_form_raw_ev_per_atom": -1.21, "de_polymorph_mev_per_atom": 65}

12.
{"formula": "Bi2PPtCl", "functional": "PBE", "state": "optimized geometry", "lattice": [[5.445, 0.000, 0.000], [0.000, 4.372, 0.000], [0.000, 0.000, 5.445]], "species": ["P", "Bi", "Bi", "Pt", "Cl"], "fractional_positions": [[0.000, 0.000, 0.000], [0.000, 0.000, 0.500], [0.500, 0.000, 0.000], [0.500, 0.500, 0.500], [0.000, 0.500, 0.000]], "spacegroup": "P4/mmm", "density_g_cm3": 8.7, "e_form_raw_ev_per_atom": 0.57, "de_polymorph_mev_per_atom": 421}

13.
{"formula": "Na2SmBr6", "functional": "PBE", "state": "optimized geometry", "lattice": [[-4.215, 0.562, -1.198], [-3.983, -1.765, 5.035], [-1.781, 11.174, 3.362]], "species": ["Na", "Na", "Sm", "Br", "Br", "Br", "Br", "Br", "Br"], "fractional_positions": [[0.302, 0.559, 0.837], [0.698, 0.441, 0.163], [0.000, 0.500, 0.500], [0.629, 0.777, 0.965], [0.371, 0.223, 0.035], [0.025, 0.674, 0.276], [0.326, 0.771, 0.577], [0.975, 0.326, 0.724], [0.674, 0.229, 0.423]], "spacegroup": "C2/m", "density_g_cm3": 3.5, "e_form_raw_ev_per_atom": -1.43}

14.
{"formula": "AcGd3Tc", "functional": "PBE", "state": "optimized geometry", "lattice": [[-2.149, 4.204, -2.816], [-4.777, -0.677, 2.634], [1.668, 3.477, 3.918]], "species": ["Ac", "Gd", "Gd", "Gd", "Tc"], "fractional_positions": [[0.500, 0.500, 0.500], [0.000, 0.500, 0.000], [0.000, 0.000, 0.500], [0.500, 0.000, 0.000], [0.000, 0.000, 0.000]], "spacegroup": "Pm-3m", "density_g_cm3": 8.0, "formation_energy_kj_per_mol_atoms": 6.27}

15.
{"formula": "ThZrScMo", "functional": "PBE", "state": "optimized geometry", "lattice": [[5.034, 0.000, 0.000], [2.517, 4.359, 0.000], [2.517, 1.453, 4.110]], "species": ["Sc", "Mo", "Zr", "Th"], "fractional_positions": [[0.500, 0.500, 0.500], [0.000, 0.000, 0.000], [0.750, 0.750, 0.750], [0.250, 0.250, 0.250]], "spacegroup": "F-43m", "density_g_cm3": 8.5, "formation_energy_kj_per_mol_atoms": 14.04}

16.
{"formula": "NaBr3", "functional": "PBE", "state": "optimized geometry", "lattice": [[-1.545, -3.390, -1.623], [-0.508, -1.550, 3.722], [-7.304, 6.090, -0.678]], "species": ["Na", "Br", "Br", "Br"], "fractional_positions": [[0.000, 0.000, 0.000], [0.500, 0.500, 0.000], [0.249, 0.249, 0.499], [0.751, 0.751, 0.501]], "spacegroup": "I4/mmm", "density_g_cm3": 2.9, "e_form_raw_ev_per_atom": -0.61, "de_polymorph_mev_per_atom": 153}

17.
{"formula": "AcCd9Ag2", "functional": "PBE", "state": "optimized geometry", "lattice": [[-1.366, -5.036, 5.589], [0.402, -8.889, -2.681], [7.581, -2.703, 4.647]], "species": ["Ac", "Ac", "Cd", "Cd", "Cd", "Cd", "Cd", "Cd", "Cd", "Cd", "Cd", "Cd", "Cd", "Cd", "Cd", "Cd", "Cd", "Cd", "Cd", "Cd", "Ag", "Ag", "Ag", "Ag"], "fractional_positions": [[0.500, 0.000, 0.000], [0.250, 0.500, 0.500], [0.750, 0.500, 0.500], [0.000, 0.000, 0.000], [0.006, 0.919, 0.677], [0.601, 0.081, 0.323], [0.675, 0.177, 0.581], [0.433, 0.823, 0.419], [0.744, 0.823, 0.581], [0.149, 0.177, 0.419], [0.075, 0.919, 0.323], [0.317, 0.081, 0.677], [0.744, 0.581, 0.823], [0.149, 0.419, 0.177], [0.075, 0.323, 0.919], [0.317, 0.677, 0.081], [0.006, 0.677, 0.919], [0.601, 0.323, 0.081], [0.675, 0.581, 0.177], [0.433, 0.419, 0.823], [0.875, 0.250, 0.750], [0.875, 0.750, 0.250], [0.875, 0.250, 0.250], [0.375, 0.750, 0.750]], "spacegroup": "I4_1/amd", "density_g_cm3": 8.8, "formation_energy_kj_per_mol_atoms": -17.79, "de_polymorph_mev_per_atom": 0}

18.
{"formula": "Sc2Si2Ge", "functional": "PBE", "state": "optimized geometry", "lattice": [[-3.893, -2.647, -4.878], [3.726, -5.662, 0.098], [-2.381, -1.519, 2.725]], "species": ["Sc", "Sc", "Sc", "Sc", "Ge", "Ge", "Si", "Si", "Si", "Si"], "fractional_positions": [[0.178, 0.678, 0.500], [0.678, 0.822, 0.500], [0.822, 0.322, 0.500], [0.322, 0.178, 0.500], [0.000, 0.000, 0.000], [0.500, 0.500, 0.000], [0.378, 0.878, 0.000], [0.878, 0.622, 0.000], [0.622, 0.122, 0.000], [0.122, 0.378, 0.000]], "spacegroup": "P4/mbm", "density_g_cm3": 4.0, "e_form_raw_ev_per_atom": -0.59, "de_polymorph_mev_per_atom": 0}

19.
{"formula": "Na4Ho3MnS8", "functional": "PBE", "state": "optimized geometry", "lattice": [[-2.802, -5.825, 4.308], [7.412, -3.036, 0.715], [-1.263, 7.363, 2.130]], "species": ["Na", "Na", "Na", "Na", "Ho", "Ho", "Ho", "Mn", "S", "S", "S", "S", "S", "S", "S", "S"], "fractional_positions": [[0.500, 0.000, 0.000], [0.500, 0.000, 0.500], [0.000, 0.000, 0.000], [0.000, 0.000, 0.500], [0.500, 0.500, 0.000], [0.500, 0.500, 0.500], [0.000, 0.500, 0.500], [0.000, 0.500, 0.000], [0.230, 0.718, 0.988], [0.230, 0.718, 0.461], [0.257, 0.271, 0.514], [0.758, 0.718, 0.988], [0.242, 0.282, 0.012], [0.743, 0.729, 0.486], [0.770, 0.282, 0.539], [0.770, 0.282, 0.012]], "spacegroup": "R-3m", "density_g_cm3": 4.3, "e_form_raw_ev_per_atom": -1.55}

20.
{"formula": "VCr6Re", "functional": "PBE", "state": "optimized geometry", "lattice": [[3.991, -0.209, 0.978], [1.029, 3.861, 0.978], [-0.646, -0.470, 6.723]], "species": ["V", "Cr", "Cr", "Cr", "Cr", "Cr", "Cr", "Re"], "fractional_positions": [[0.500, 0.500, 0.500], [0.489, 0.945, 0.706], [0.945, 0.489, 0.706], [0.055, 0.511, 0.294], [0.511, 0.055, 0.294], [0.621, 0.621, 0.090], [0.379, 0.379, 0.910], [0.000, 0.000, 0.000]], "spacegroup": "C2/m", "density_g_cm3": 8.4, "formation_energy_kj_per_mol_atoms": 57.49, "de_polymorph_mev_per_atom": 360}